# YI2NF

A geometry-optimized YI2NF structure (GGA-PBE, Alexandria via LeMat-Bulk).

Cell lengths 5.980, 5.980, 4.680 Å; angles 90.00, 90.00, 90.00 degrees
Each line ends with the local moment (μB).
Atoms (fractional coordinates):
I  0.000  0.500  0.000  -0.01
I  0.500  0.000  0.000  -0.01
Y  0.000  0.000  0.000  0.00
N  0.000  0.000  0.500  1.19
F  0.500  0.500  0.500  -0.43

Summary:
Uncorrected formation energy = -178.0 meV/atom
Crystal system = tetragonal
Size of the total moment = 1.3 μB/f.u.
Relative energy among the computed polymorphs = 0 meV/atom

***

# YI2NF

A geometry-optimized YI2NF structure (GGA-PBE, Alexandria via LeMat-Bulk).

Cell lengths 5.719, 5.719, 3.709 Å; angles 90.00, 90.00, 90.00 degrees
Each line ends with the local moment (μB).
Atoms (fractional coordinates):
I  0.000  0.500  0.000  0.06
I  0.500  0.000  0.000  0.06
Y  0.500  0.500  0.500  -0.07
N  0.000  0.000  0.500  1.20
F  0.000  0.000  0.000  0.00

Summary:
Uncorrected formation energy = 321.6 meV/atom
Crystal system = tetragonal
Size of the total moment = 1.7 μB/f.u.
Relative energy among the computed polymorphs = 500 meV/atom

***

# ZnI2NF

A geometry-optimized ZnI2NF structure (GGA-PBE, Alexandria via LeMat-Bulk).

Cell lengths 5.583, 5.583, 3.892 Å; angles 90.00, 90.00, 90.00 degrees
Each line ends with the local moment (μB).
Atoms (fractional coordinates):
I  0.000  0.500  0.000  -0.15
I  0.500  0.000  0.000  -0.15
Zn  0.500  0.500  0.500  0.00
N  0.000  0.000  0.500  1.46
F  0.000  0.000  0.000  -0.17

Summary:
Uncorrected formation energy = 1072.7 meV/atom
Crystal system = tetragonal
Size of the total moment = 1.5 μB/f.u.
Relative energy among the computed polymorphs = 454 meV/atom

***

# ZnIN2F

A geometry-optimized ZnIN2F structure (GGA-PBE, Alexandria via LeMat-Bulk).

Cell lengths 4.074, 4.074, 6.845 Å; angles 90.00, 90.00, 90.00 degrees
Each line ends with the local moment (μB).
Atoms (fractional coordinates):
I  0.000  0.000  0.500  0.02
Zn  0.500  0.500  0.500  0.00
N  0.000  0.500  0.000  1.57
N  0.500  0.000  0.000  1.57
F  0.000  0.000  0.000  0.04

Summary:
Uncorrected formation energy = 1861.0 meV/atom
Crystal system = tetragonal
Size of the total moment = 4.7 μB/f.u.
Relative energy among the computed polymorphs = 904 meV/atom

***

# ZnIN2F

A geometry-optimized ZnIN2F structure (GGA-PBE, Alexandria via LeMat-Bulk).

Cell lengths 4.091, 4.091, 4.563 Å; angles 90.00, 90.00, 90.00 degrees
Atoms (fractional coordinates):
I  0.000  0.000  0.000
Zn  0.500  0.500  0.500
N  0.000  0.500  0.000
N  0.500  0.000  0.000
F  0.000  0.000  0.500

Summary:
Uncorrected formation energy = 1269.4 meV/atom
Crystal system = tetragonal
Size of the total moment = 0.0 μB/f.u.
Relative energy among the computed polymorphs = 313 meV/atom

***

# ZnI2NF

A geometry-optimized ZnI2NF structure (GGA-PBE, Alexandria via LeMat-Bulk).

Cell lengths 5.810, 5.810, 3.685 Å; angles 90.00, 90.00, 90.00 degrees
Each line ends with the local moment (μB).
Atoms (fractional coordinates):
I  0.000  0.500  0.000  0.17
I  0.500  0.000  0.000  0.17
Zn  0.000  0.000  0.000  0.07
N  0.000  0.000  0.500  1.10
F  0.500  0.500  0.500  -0.11

Summary:
Uncorrected formation energy = 618.6 meV/atom
Crystal system = tetragonal
Size of the total moment = 2.0 μB/f.u.
Relative energy among the computed polymorphs = 0 meV/atom

***

# ZnIN2F

A geometry-optimized ZnIN2F structure (GGA-PBE, Alexandria via LeMat-Bulk).

Cell lengths 3.911, 3.911, 6.293 Å; angles 90.00, 90.00, 90.00 degrees
Each line ends with the local moment (μB).
Atoms (fractional coordinates):
I  0.000  0.000  0.500  0.46
Zn  0.000  0.000  0.000  0.05
N  0.000  0.500  0.000  1.21
N  0.500  0.000  0.000  1.21
F  0.500  0.500  0.500  0.18

Summary:
Uncorrected formation energy = 1297.5 meV/atom
Crystal system = tetragonal
Size of the total moment = 4.4 μB/f.u.
Relative energy among the computed polymorphs = 341 meV/atom

***

# ZnIN2F

A geometry-optimized ZnIN2F structure (GGA-PBE, Alexandria via LeMat-Bulk).

Cell lengths 4.088, 4.088, 3.907 Å; angles 90.00, 90.00, 90.00 degrees
Atoms (fractional coordinates):
I  0.500  0.500  0.500
Zn  0.000  0.000  0.000
N  0.000  0.500  0.000
N  0.500  0.000  0.000
F  0.000  0.000  0.500

Summary:
Uncorrected formation energy = 956.6 meV/atom
Crystal system = tetragonal
Size of the total moment = 0.0 μB/f.u.
Relative energy among the computed polymorphs = 0 meV/atom